First-principles (PBE) data for an optimized crystal structure of DyGa2Tc2B, as listed in the Alexandria database.

Computed properties:
ΔE_f = -44 kJ per mole of atoms
DFT total energy = -6.804 eV/atom
total magnetization = 0.000 μB per atom

abc: 4.227 4.227 5.465
angles: 90.00 90.00 90.00
Space group P4/mmm (No. 123)
One atom of each set of equivalent atoms:
Dy 0.000 0.000 0.000 (multiplicity 1)
Ga 0.500 0.500 0.226 (multiplicity 2)
Tc 0.000 0.500 0.500 (multiplicity 2)
B 0.000 0.000 0.500 (multiplicity 1)